(1)
This record from the Alexandria database describes TbNd2Pu after structural relaxation. The functional is PBE.

Excess energy over the best structure of this formula in the dataset   0.037 eV per atom
Crystal system   tetragonal
Formation energy from the elements   151.7 meV per atom
SG   P4/mmm

abc: 5.067 5.067 5.043
angles: 90.00 90.00 90.00
Fractional positions:
Tb: 0.000 0.000 0.000
Nd: 0.000 0.500 0.500
Nd: 0.500 0.000 0.500
Pu: 0.500 0.500 0.000

---

(2)
This record from the Alexandria database describes Na2CaGeF after structural relaxation. The functional is PBE.

Energy relative to the elements, uncorrected   -1.230 eV per atom
Crystal system   tetragonal
SG   P4/mmm

abc: 4.616 4.616 4.866
angles: 90.00 90.00 90.00
Fractional positions:
Na: 0.000 0.500 0.000
Na: 0.500 0.000 0.000
Ca: 0.000 0.000 0.500
Ge: 0.500 0.500 0.500
F: 0.000 0.000 0.000

---

(3)
This record from the Alexandria database describes Cs3AgI2Br6 after structural relaxation. The functional is PBE.

Energy relative to the elements, uncorrected   -0.880 eV per atom
Crystal system   trigonal
SG   P-3m1

abc: 7.919 7.919 9.184
angles: 90.00 90.00 120.00
Fractional positions:
Cs: 0.000 0.000 0.000
Cs: 0.333 0.667 0.644
Cs: 0.667 0.333 0.356
Ag: 0.000 0.000 0.500
I: 0.333 0.667 0.087
I: 0.667 0.333 0.913
Br: 0.156 0.312 0.330
Br: 0.156 0.844 0.330
Br: 0.312 0.156 0.670
Br: 0.688 0.844 0.330
Br: 0.844 0.156 0.670
Br: 0.844 0.688 0.670

---

(4)
This record from the Alexandria database describes La2GaIr after structural relaxation. The functional is PBE.

Crystal system   orthorhombic
Formation energy from the elements   -154.6 meV per atom
SG   Immm

abc: 3.690 3.733 15.250
angles: 90.00 90.00 90.00
Fractional positions:
La: 0.000 0.000 0.170
La: 0.000 0.000 0.830
La: 0.500 0.500 0.330
La: 0.500 0.500 0.670
Ga: 0.000 0.000 0.500
Ga: 0.500 0.500 0.000
Ir: 0.000 0.000 0.000
Ir: 0.500 0.500 0.500

---

(5)
This record from the Alexandria database describes Tm2ScOs after structural relaxation. The functional is PBE.

Excess energy over the best structure of this formula in the dataset   0.021 eV per atom
Crystal system   orthorhombic
Formation energy from the elements   -302.0 meV per atom
SG   Cmcm

abc: 3.839 11.380 8.791
angles: 90.00 90.00 90.00
Fractional positions:
Tm: 0.000 0.141 0.064
Tm: 0.000 0.141 0.436
Tm: 0.000 0.859 0.564
Tm: 0.000 0.859 0.936
Tm: 0.500 0.359 0.564
Tm: 0.500 0.359 0.936
Tm: 0.500 0.641 0.064
Tm: 0.500 0.641 0.436
Sc: 0.000 0.425 0.250
Sc: 0.000 0.575 0.750
Sc: 0.500 0.075 0.750
Sc: 0.500 0.925 0.250
Os: 0.000 0.235 0.750
Os: 0.000 0.765 0.250
Os: 0.500 0.265 0.250
Os: 0.500 0.735 0.750

---

(6)
This record from the Alexandria database describes PrZnO2 after structural relaxation. The functional is PBE.

Energy relative to the elements, uncorrected   -1.206 eV per atom
Crystal system   trigonal
SG   R-3m

abc: 3.407 3.407 19.516
angles: 90.00 90.00 120.00
Fractional positions:
Pr: 0.000 0.000 0.000
Pr: 0.333 0.667 0.667
Pr: 0.667 0.333 0.333
Zn: 0.000 0.000 0.500
Zn: 0.333 0.667 0.167
Zn: 0.667 0.333 0.833
O: 0.000 0.000 0.114
O: 0.000 0.000 0.886
O: 0.333 0.667 0.553
O: 0.333 0.667 0.781
O: 0.667 0.333 0.219
O: 0.667 0.333 0.447

---

(7)
This record from the Alexandria database describes Pr5Dy5Sc2 after structural relaxation. The functional is PBE.

Crystal system   monoclinic
Formation energy from the elements   41.8 meV per atom
SG   C2/m

abc: 7.972 7.972 11.283
angles: 114.95 114.95 36.89
Fractional positions:
Pr: 0.000 0.000 0.000
Pr: 0.162 0.162 0.498
Pr: 0.254 0.254 0.250
Pr: 0.746 0.746 0.750
Pr: 0.838 0.838 0.502
Dy: 0.332 0.332 0.000
Dy: 0.421 0.421 0.751
Dy: 0.500 0.500 0.500
Dy: 0.579 0.579 0.249
Dy: 0.668 0.668 0.000
Sc: 0.084 0.084 0.755
Sc: 0.916 0.916 0.245

---

(8)
This record from the Alexandria database describes ZrNi4Ge after structural relaxation. The functional is PBE.

Crystal system   orthorhombic
Formation energy from the elements   -347.3 meV per atom
SG   Cmcm

abc: 7.516 7.516 6.248
angles: 90.00 90.00 152.66
Fractional positions:
Zr: 0.103 0.897 0.750
Zr: 0.897 0.103 0.250
Ni: 0.074 0.926 0.250
Ni: 0.332 0.668 0.554
Ni: 0.332 0.668 0.946
Ni: 0.500 0.500 0.000
Ni: 0.500 0.500 0.500
Ni: 0.668 0.332 0.054
Ni: 0.668 0.332 0.446
Ni: 0.926 0.074 0.750
Ge: 0.240 0.760 0.250
Ge: 0.760 0.240 0.750

---

(9)
This record from the Alexandria database describes AcPr6Dy8 after structural relaxation. The functional is PBE.

Excess energy over the best structure of this formula in the dataset   0.033 eV per atom
Crystal system   trigonal
Formation energy from the elements   197.4 meV per atom
SG   R-3

abc: 8.416 8.416 8.416
angles: 71.55 71.55 71.55
Fractional positions:
Ac: 0.000 0.000 0.000
Pr: 0.168 0.619 0.428
Pr: 0.381 0.572 0.832
Pr: 0.428 0.168 0.619
Pr: 0.572 0.832 0.381
Pr: 0.619 0.428 0.168
Pr: 0.832 0.381 0.572
Dy: 0.057 0.388 0.860
Dy: 0.140 0.943 0.612
Dy: 0.229 0.229 0.229
Dy: 0.388 0.860 0.057
Dy: 0.612 0.140 0.943
Dy: 0.771 0.771 0.771
Dy: 0.860 0.057 0.388
Dy: 0.943 0.612 0.140

---

(10)
This record from the Alexandria database describes KS2I after structural relaxation. The functional is PBE.

Excess energy over the best structure of this formula in the dataset   0.000 eV per atom
Energy relative to the elements, uncorrected   -0.031 eV per atom
Crystal system   tetragonal
SG   I-42d

abc: 6.303 6.303 15.379
angles: 90.00 90.00 90.00
Fractional positions:
K: 0.000 0.000 0.000
K: 0.000 0.500 0.250
K: 0.500 0.000 0.750
K: 0.500 0.500 0.500
S: 0.151 0.250 0.625
S: 0.250 0.651 0.875
S: 0.250 0.849 0.375
S: 0.349 0.250 0.125
S: 0.651 0.750 0.125
S: 0.750 0.151 0.375
S: 0.750 0.349 0.875
S: 0.849 0.750 0.625
I: 0.000 0.000 0.500
I: 0.000 0.500 0.750
I: 0.500 0.000 0.250
I: 0.500 0.500 0.000

---

(11)
This record from the Alexandria database describes CeGdGa after structural relaxation. The functional is PBE.

Excess energy over the best structure of this formula in the dataset   0.077 eV per atom
Crystal system   trigonal
Formation energy from the elements   -214.3 meV per atom
SG   P3m1

abc: 4.921 4.921 3.612
angles: 90.00 90.00 120.00
Fractional positions:
Ce: 0.000 0.000 0.000
Gd: 0.667 0.333 0.390
Ga: 0.333 0.667 0.661

---

(12)
This record from the Alexandria database describes KZrNbV2 after structural relaxation. The functional is PBE.

Crystal system   tetragonal
Formation energy from the elements   1697.3 meV per atom
SG   P4/mmm

abc: 5.201 5.201 5.056
angles: 90.00 90.00 90.00
Fractional positions:
K: 0.000 0.000 0.000
Zr: 0.500 0.500 0.500
Nb: 0.500 0.500 0.000
V: 0.000 0.500 0.500
V: 0.500 0.000 0.500

---

Summary of spin magnetization in Bohr magnetons per cell
6.27; 0.00; 0.00; 0.00; 0.00; 1.31; 0.00; 0.00; 0.00; 0.00; 6.47; 5.70
(order as listed above)